# ErH2Cl4

ErH2Cl4 after structural relaxation (GGA-PBE, Alexandria).

Cell and atoms, written as POSCAR:
```
ErH2Cl4
1.0
4.024 0.000 0.000
-1.983 5.989 0.000
-0.330 -0.705 7.243
Er H Cl
1 2 4
Cartesian
0.000 0.000 0.000
0.004 1.939 1.422
1.706 3.346 5.821
-0.009 1.078 2.524
0.027 4.442 0.813
1.683 0.843 6.430
1.720 4.207 4.719
```

Values from the calculation:
Fermi-level density of states: 0.9 states/eV/f.u.
E: -25.55 eV per formula unit

# ErHCl3

ErHCl3 after structural relaxation (GGA-PBE, Alexandria).

Cell and atoms, written as POSCAR:
```
ErHCl3
1.0
6.181 -3.569 0.000
6.181 3.569 0.000
-4.125 0.000 6.918
Er H Cl
2 2 6
Cartesian
-2.064 0.000 6.916
10.302 0.000 0.003
2.059 0.009 5.019
6.179 0.009 1.900
0.002 -0.004 1.647
3.094 1.780 1.647
5.144 1.780 5.271
3.093 -1.780 1.647
5.144 -1.780 5.271
8.236 -0.004 5.272
```

Values from the calculation:
Fermi-level density of states: 0.0 states/eV/f.u.
E: -20.20 eV per formula unit

# ErH2Cl3

ErH2Cl3 after structural relaxation (GGA-PBE, Alexandria).

Cell and atoms, written as POSCAR:
```
ErH2Cl3
1.0
9.016 -2.622 0.000
9.016 2.622 0.000
0.000 0.000 7.832
Er H Cl
2 4 6
Cartesian
9.016 -2.621 1.958
9.016 2.621 5.874
5.549 0.028 5.874
5.549 -0.028 1.958
12.483 0.028 5.874
12.483 -0.028 1.958
1.764 0.000 0.000
1.764 0.000 3.916
9.016 0.001 1.958
9.016 -0.001 5.874
16.269 0.000 0.000
16.269 0.000 3.916
```

Values from the calculation:
Fermi-level density of states: 0.0 states/eV/f.u.
E: -21.34 eV per formula unit

# ErHICl

ErHICl after structural relaxation (GGA-PBE, Alexandria).

Cell and atoms, written as POSCAR:
```
ErHICl
1.0
6.660 0.000 0.000
0.000 3.846 0.000
-2.231 0.000 7.746
Er H I Cl
2 2 2 2
Cartesian
0.000 0.000 0.000
3.330 1.923 0.000
-1.121 1.923 7.689
2.209 0.000 7.689
-0.011 0.000 5.592
3.319 1.923 5.592
2.220 0.000 1.684
5.550 1.923 1.684
```

Values from the calculation:
Fermi-level density of states: 0.0 states/eV/f.u.
E: -17.13 eV per formula unit

# Rb2ErHCl6

Rb2ErHCl6 after structural relaxation (GGA-PBE, Alexandria).

Cell and atoms, written as POSCAR:
```
Rb2ErHCl6
1.0
4.264 -5.826 0.000
4.264 5.826 0.000
-4.252 0.000 5.823
Rb Er H Cl
2 1 1 6
Cartesian
4.264 2.907 0.000
4.264 -2.907 0.000
-2.126 0.000 2.911
2.139 0.000 2.911
-2.132 0.000 5.491
2.139 3.247 2.911
0.580 0.000 2.929
3.698 0.000 2.894
2.139 -3.247 2.911
6.409 0.000 0.332
```

Values from the calculation:
Fermi-level density of states: 0.0 states/eV/f.u.
E: -38.54 eV per formula unit

# ErHgCl6

ErHgCl6 after structural relaxation (GGA-PBE, Alexandria).

Cell and atoms, written as POSCAR:
```
ErHgCl6
1.0
6.613 0.000 0.000
2.631 6.228 0.000
0.155 3.470 5.865
Er Hg Cl
1 1 6
Cartesian
0.000 0.000 0.000
3.384 1.735 2.932
1.767 3.927 0.990
3.736 6.412 2.301
5.039 8.425 5.116
4.360 1.273 0.749
5.663 3.285 3.564
7.632 5.771 4.875
```

Values from the calculation:
Fermi-level density of states: 0.1 states/eV/f.u.
E: -25.55 eV per formula unit
Raw formation energy: -9.606 eV per formula unit

Q: Look up the E of the third one.
A: -21.34 eV per formula unit

Q: Which of these has the highest Fermi-level density of states?
A: ErH2Cl4